1.
Density functional theory data (PBE) for a relaxed FeSiPdAu crystal.

Structure (POSCAR):
```
FeSiPdAu
1.0
-3.812 -1.260 1.706
-1.625 2.072 3.478
-3.524 2.537 -0.422
Au Fe Pd Si
1 1 1 1
Cartesian
-4.480 1.675 2.382
-6.720 2.512 3.572
-2.240 0.837 1.191
0.000 0.000 0.000
```

Computed properties:
Volume (Å³ per cell): 58.7
VASP energy (eV/cell): -22.2
Offset from the most stable computed form (eV/atom): 0.000
Magnetic moment (Bohr magnetons per cell): 2.5

***

2.
Density functional theory data (PBE) for a relaxed FeSnPdAu crystal.

Structure (POSCAR):
```
FeSnPdAu
1.0
3.395 -2.827 1.113
-0.468 -2.844 3.529
-0.433 -4.477 -0.725
Au Fe Pd Sn
1 1 1 1
Cartesian
1.247 -5.074 1.959
1.871 -7.612 2.938
0.624 -2.537 0.979
0.000 0.000 0.000
```

Computed properties:
Volume (Å³ per cell): 66.9
VASP energy (eV/cell): -21.0
Offset from the most stable computed form (eV/atom): 0.000
Magnetic moment (Bohr magnetons per cell): 2.6

***

3.
Density functional theory data (PBE) for a relaxed PmFeAu crystal.

Structure (POSCAR):
```
PmFeAu
1.0
0.000 3.214 3.214
3.214 0.000 3.214
3.214 3.214 0.000
Au Fe Pm
1 1 1
Cartesian
1.607 1.607 1.607
0.000 0.000 0.000
4.822 4.822 4.822
```

Computed properties:
E_form (eV/atom): 0.079
Volume (Å³ per cell): 66.4
VASP energy (eV/cell): -16.1
Offset from the most stable computed form (eV/atom): 0.000
Magnetic moment (Bohr magnetons per cell): 2.0

***

4.
Density functional theory data (PBE) for a relaxed PmFeAu crystal.

Structure (POSCAR):
```
PmFeAu
1.0
0.000 3.381 3.381
3.381 0.000 3.381
3.381 3.381 0.000
Au Fe Pm
1 1 1
Cartesian
1.691 1.691 1.691
5.072 5.072 5.072
0.000 0.000 0.000
```

Computed properties:
E_form (eV/atom): 0.503
Volume (Å³ per cell): 77.3
VASP energy (eV/cell): -14.8
Offset from the most stable computed form (eV/atom): 0.424
Magnetic moment (Bohr magnetons per cell): 2.3

***

5.
Density functional theory data (PBE) for a relaxed Pr6Fe13Au crystal.

Structure (POSCAR):
```
Pr6Fe13Au
1.0
-4.002 4.002 11.551
4.002 -4.002 11.551
4.002 4.002 -11.551
Au Fe Pr
2 26 12
Cartesian
0.000 0.000 5.776
0.000 0.000 17.327
2.571 -1.430 10.182
2.571 -1.430 12.921
-0.533 1.676 11.551
-2.325 3.468 11.551
-0.910 3.092 9.358
-0.910 3.092 13.744
0.533 1.676 0.000
1.676 0.533 11.551
0.000 4.002 0.000
0.910 3.092 -2.193
0.910 3.092 2.193
2.571 1.430 -1.370
2.571 1.430 1.370
4.002 0.000 0.000
1.430 2.571 10.181
1.430 2.571 12.921
3.092 0.910 9.358
3.092 0.910 13.744
2.325 3.468 0.000
3.468 2.325 11.551
4.912 0.910 -2.193
4.912 0.910 2.193
4.535 2.325 0.000
6.327 0.533 0.000
1.430 5.432 -1.370
1.430 5.432 1.370
0.000 0.000 2.496
0.000 0.000 9.055
0.000 0.000 14.047
0.000 0.000 20.606
-1.307 2.695 4.332
2.695 -1.307 7.219
-1.307 5.308 7.219
1.307 2.695 7.219
2.695 1.307 4.332
5.308 -1.307 4.332
1.307 5.308 4.332
5.308 1.307 7.219
```

Computed properties:
E_form (eV/atom): -0.061
Volume (Å³ per cell): 739.9
VASP energy (eV/cell): -282.3
Magnetic moment (Bohr magnetons per cell): 52.5

***

6.
Density functional theory data (PBE) for a relaxed PrFeAu crystal.

Structure (POSCAR):
```
PrFeAu
1.0
2.321 -0.586 4.217
3.221 3.311 1.475
-1.035 2.884 3.758
Au Fe Pr
1 1 1
Cartesian
1.127 1.402 2.363
3.380 4.207 7.088
0.000 0.000 0.000
```

Computed properties:
E_form (eV/atom): 0.538
Volume (Å³ per cell): 80.6
VASP energy (eV/cell): -14.7
Magnetic moment (Bohr magnetons per cell): 2.3

***

> Look up the volume of the fourth one.

77.3 Å³ per cell

***

> Which formula does entry 5 have?

Pr6Fe13Au

***

What did the third record say?
Density functional theory data (PBE) for a relaxed PmFeAu crystal.

Structure (POSCAR):
```
PmFeAu
1.0
0.000 3.214 3.214
3.214 0.000 3.214
3.214 3.214 0.000
Au Fe Pm
1 1 1
Cartesian
1.607 1.607 1.607
0.000 0.000 0.000
4.822 4.822 4.822
```

Computed properties:
E_form (eV/atom): 0.079
Volume (Å³ per cell): 66.4
VASP energy (eV/cell): -16.1
Offset from the most stable computed form (eV/atom): 0.000
Magnetic moment (Bohr magnetons per cell): 2.0

***

> volume of number 2 (FeSnPdAu)?

66.9 Å³ per cell